Crystalline CeMg6Al at its relaxed geometry, computed with PBE.

Cell lengths 4.8644, 6.3416, 6.4833 Å; angles 71.96, 90.00, 90.00 degrees
Fractional coordinates of all 8 atoms:
Mg  0.5000  0.1562  0.6954
Mg  0.0000  0.3236  0.4038
Mg  0.0000  0.8412  0.3117
Mg  0.5000  0.1182  0.2030
Mg  0.5000  0.6755  0.5927
Mg  0.0000  0.3643  0.8944
Al  0.0000  0.8813  0.8063
Ce  0.5000  0.6396  0.0928

The calculation puts the energy of formation from the pure elements at 0.002 eV/atom. Its distance to the lowest polymorph of the same formula is 0 meV per atom. The space group is Pm.

Crystalline Sm2Tm2Ge3 at its relaxed geometry, computed with PBE.

Cell lengths 4.5866, 5.7694, 8.0943 Å; angles 99.79, 90.02, 113.41 degrees
Fractional coordinates of all 7 atoms:
Sm  0.1275  0.2545  0.3506
Sm  0.8725  0.7455  0.6494
Ge  0.7984  0.5965  0.2745
Ge  0.2016  0.4035  0.7255
Ge  0.0000  0.0000  0.0000
Tm  0.3594  0.7188  0.0761
Tm  0.6406  0.2812  0.9239

The calculation puts the energy of formation from the pure elements at -0.641 eV/atom. The space group is C2/m.

Crystalline Ca2PmNd at its relaxed geometry, computed with PBE.

Cell lengths 4.2093, 4.2093, 8.4289 Å; angles 90.00, 90.00, 90.00 degrees
Fractional coordinates of all 4 atoms:
Ca  0.0000  0.0000  0.7513
Ca  0.0000  0.0000  0.2487
Pm  0.5000  0.5000  0.0000
Nd  0.5000  0.5000  0.5000

The calculation puts the energy of formation from the pure elements at 0.124 eV/atom. Its distance to the lowest polymorph of the same formula is 87 meV per atom. The space group is P4/mmm.

Crystalline Ho3Mg2Hg3 at its relaxed geometry, computed with PBE.

Cell lengths 3.6700, 5.2250, 10.9171 Å; angles 103.85, 99.68, 90.00 degrees
Fractional coordinates of all 8 atoms:
Hg  0.8735  0.8735  0.7469
Hg  0.1265  0.1265  0.2531
Hg  0.0000  0.5000  0.0000
Ho  0.3756  0.3756  0.7512
Ho  0.5000  0.0000  0.0000
Ho  0.6244  0.6244  0.2488
Mg  0.2612  0.7612  0.5224
Mg  0.7388  0.2388  0.4776

The calculation puts the energy of formation from the pure elements at -0.329 eV/atom. The space group is Immm.